Computed, not measured: a relaxed structure of Si2NiTe at the PBE-GGA level of DFT.

```
Si2NiTe
1.0
4.012 0.008 0.017
2.439 3.185 0.017
1.814 0.898 5.603
Ni Si Te
1 2 1
Direct
0.254 0.254 0.187
0.008 0.008 0.023
0.764 0.764 0.845
0.475 0.475 0.445
```

* symmetry: No. 8
* total magnetic moment: 0.00 μB per atom
* E_tot: -19.51 eV/cell
* formation energy from raw total energies: 64 meV per atom